1.
PBE-GGA PmSm2Ho6Tm, relaxed; symmetry = No. 15; total magnetic moment = 0.002 μB per cell; E_tot = -4.50 eV/atom; energy of formation = 0.12 eV per atom
1.0
-4.4687 -8.2217 -2.1756
5.3365 -3.6993 5.8698
-7.2535 3.9190 2.9402
Pm Sm Ho Tm
2 4 12 2
Direct
0.2500 0.9798 0.0202
0.7500 0.0202 0.9798
0.4560 0.8033 0.6997
0.0440 0.3003 0.1967
0.5440 0.1967 0.3003
0.9560 0.6997 0.8033
0.0573 0.1247 0.7446
0.4427 0.2554 0.8753
0.9427 0.8753 0.2554
0.5573 0.7446 0.1247
0.3141 0.9811 0.4291
0.1859 0.5709 0.0189
0.6859 0.0189 0.5709
0.8141 0.4291 0.9811
0.1190 0.7069 0.4936
0.3810 0.5064 0.2931
0.8810 0.2931 0.5064
0.6190 0.4936 0.7069
0.2500 0.4082 0.5918
0.7500 0.5918 0.4082



2.
PBE-GGA Pm2SmHoTm4, relaxed; symmetry = No. 47; total magnetic moment = 0.000 μB per cell; E_tot = -4.56 eV/atom; energy of formation = 0.02 eV per atom
1.0
-3.7730 -3.2568 0.8140
3.2092 -3.1529 2.2607
1.3338 1.2037 10.9986
Pm Sm Ho Tm
2 1 1 4
Direct
0.0000 0.0000 0.0000
0.5000 0.0000 0.5000
0.5000 0.5000 0.0000
0.0000 0.5000 0.5000
0.0000 0.7516 0.7485
0.0000 0.2484 0.2515
0.5000 0.7485 0.2514
0.5000 0.2515 0.7486



3.
PBE-GGA Pm6SmHo2Tm, relaxed; symmetry = No. 15; total magnetic moment = 0.000 μB per cell; E_tot = -4.57 eV/atom; energy of formation = 0.12 eV per atom
1.0
9.1755 -1.9529 -2.0267
0.8103 8.6457 -2.0148
0.8103 -2.3338 8.5651
Pm Sm Ho Tm
12 2 4 2
Direct
0.0548 0.1189 0.7600
0.4452 0.2400 0.8811
0.9452 0.8811 0.2400
0.5548 0.7600 0.1189
0.3131 0.9908 0.4368
0.1869 0.5632 0.0092
0.6869 0.0092 0.5632
0.8131 0.4368 0.9908
0.1176 0.7083 0.4887
0.3824 0.5113 0.2917
0.8824 0.2917 0.5113
0.6176 0.4887 0.7083
0.2500 0.9727 0.0273
0.7500 0.0273 0.9727
0.4532 0.7975 0.6977
0.0468 0.3023 0.2025
0.5468 0.2025 0.3023
0.9532 0.6977 0.7975
0.2500 0.4116 0.5884
0.7500 0.5884 0.4116



4.
PBE-GGA PmSmHo3Tm, relaxed; symmetry = No. 63; total magnetic moment = 0.000 μB per cell; E_tot = -4.59 eV/atom; energy of formation = 0.02 eV per atom
1.0
5.0285 0.0000 0.0000
-2.5143 7.5431 0.0000
0.0000 0.0000 10.0632
Pm Sm Ho Tm
2 2 6 2
Direct
0.4998 0.9997 0.7500
0.5002 0.0003 0.2500
0.0000 0.0000 0.5000
0.0000 0.0000 0.0000
0.6681 0.3361 0.5000
0.3319 0.6639 0.5000
0.3319 0.6639 0.0000
0.6681 0.3361 0.0000
0.1683 0.3366 0.7500
0.8317 0.6634 0.2500
0.8319 0.6638 0.7500
0.1681 0.3362 0.2500